Crystalline SiAuBr2 at its relaxed geometry. Source: the Alexandria database, functional PBE.

Results
Fermi-level density of states: 0.44 states/eV per atom
Space group: P4mm (99)
Theoretical density: 6.4 Mg/m³
Calculated volume: 24.895 A^3/atom
Relative energy among the computed polymorphs: 438 meV/atom
E_form (uncorrected): 0.237 eV per atom

POSCAR file:
```
SiAuBr2
1.0
3.4355 0.0000 0.0000
0.0000 3.4355 0.0000
0.0000 0.0000 8.4375
Si Br Au
1 2 1
Direct
0.0000 0.0000 0.5488
0.0000 0.0000 0.9128
0.5000 0.5000 0.3295
0.5000 0.5000 0.7089
```



Crystalline SiAuBr at its relaxed geometry. Source: the Alexandria database, functional PBE.

Results
Fermi-level density of states: 0.31 states/eV per atom
Space group: Fmm2 (42)
Theoretical density: 7.4 Mg/m³
Calculated volume: 22.894 A^3/atom
Relative energy among the computed polymorphs: 417 meV/atom
E_form (uncorrected): 0.264 eV per atom

POSCAR file:
```
SiAuBr
1.0
-4.0407 2.5764 4.5664
-2.3892 -0.4210 5.6854
1.2426 3.0771 1.3969
Br Si Au
1 1 1
Direct
0.3397 0.3397 0.6603
0.6448 0.6448 0.3552
0.0155 0.0155 0.9845
```



Crystalline SiAu2Br at its relaxed geometry. Source: the Alexandria database, functional PBE.

Results
Fermi-level density of states: 0.31 states/eV per atom
Space group: Immm (71)
Theoretical density: 9.2 Mg/m³
Calculated volume: 22.770 A^3/atom
Relative energy among the computed polymorphs: 234 meV/atom
E_form (uncorrected): 0.239 eV per atom

POSCAR file:
```
SiAu2Br
1.0
-0.6312 5.2559 1.6411
-3.5104 1.7294 -3.9245
0.5387 -3.3390 4.3905
Au Si Br
2 1 1
Direct
0.4587 0.4587 0.0000
0.0413 0.0413 0.0000
0.2500 0.7500 0.5000
0.7500 0.2500 0.5000
```